An optimized crystal structure of AsOsRh4, computed with PBE-GGA.

abc: 5.1059 5.1059 5.1059
angles: 60.00 60.00 60.00
Last column: nearest neighbours and their distance in Å.
Fractional positions:
As  0.0000  0.0000  0.0000  12 Rh 2.99, 4 Os 3.13
Os  0.7500  0.7500  0.7500  12 Rh 2.99, 4 As 3.13
Rh  0.3755  0.3755  0.3755  6 Rh 2.54-2.56
Rh  0.3755  0.3755  0.8734  6 Rh 2.54-2.56
Rh  0.3755  0.8734  0.3755  6 Rh 2.54-2.56
Rh  0.8734  0.3755  0.3755  6 Rh 2.54-2.56

Values from the calculation:
E_tot ... -6.8609 eV/atom
DFT formation energy ... 0.69 eV per atom
Spin magnetization ... 0.39 μB per atom
Crystal system ... cubic



An optimized crystal structure of As2Os4Rh, computed with PBE-GGA.

abc: 4.6145 4.6145 12.8019
angles: 90.00 90.00 90.00
Last column: nearest neighbours and their distance in Å.
Fractional positions:
As  0.0000  0.0000  0.1092  1 Os 2.30
As  0.0000  0.0000  0.8908  1 Os 2.30
As  0.5000  0.5000  0.3908  1 Os 2.30
As  0.5000  0.5000  0.6092  1 Os 2.30
Os  0.0000  0.0000  0.2892  1 As 2.30
Os  0.0000  0.0000  0.7108  1 As 2.30
Os  0.0000  0.5000  0.0000  2 Rh 2.31
Os  0.0000  0.5000  0.5000  2 Rh 2.31
Os  0.5000  0.0000  0.0000  2 Rh 2.31
Os  0.5000  0.0000  0.5000  2 Rh 2.31
Os  0.5000  0.5000  0.2108  1 As 2.30
Os  0.5000  0.5000  0.7892  1 As 2.30
Rh  0.0000  0.0000  0.5000  4 Os 2.31
Rh  0.5000  0.5000  0.0000  4 Os 2.31

Values from the calculation:
E_tot ... -6.9512 eV/atom
DFT formation energy ... 1.84 eV per atom
Spin magnetization ... 0.38 μB per atom
Crystal system ... tetragonal



- Which formula does entry 1 have?
  AsOsRh4